Density functional theory data (PBEsol) for an optimized crystal structure of LiCr3Pt.

Properties
Crystal system = cubic
SG = Pm-3m, No. 221
Energy of formation from the pure elements = 1262 meV per atom
D(E_F) = 1.7156 states/eV/atom

POSCAR file:
```
LiCr3Pt
1.0
-1.9999 4.4075 0.4841
-1.5679 -0.2062 -4.5999
-4.1475 -2.0473 1.5055
Cr Pt Li
3 1 1
direct
0.5000 0.0000 0.0000 Cr
0.0000 0.0000 0.5000 Cr
0.0000 0.5000 0.0000 Cr
0.0000 0.0000 0.0000 Pt
0.5000 0.5000 0.5000 Li
```